Arrangement i

The following is a PBE calculation of crystalline TlCr2SbPb at its relaxed geometry, from Alexandria.

The structure belongs to space group P4/mmm (No. 123); the cell edges are 5.334, 5.334 and 5.887 Å and the angles 90.00°, 90.00° and 90.00°. The inequivalent atoms are Tl at (0.000, 0.000, 0.000), Cr at (0.000, 0.500, 0.500), Sb at (0.500, 0.500, 0.000) and Pb at (0.500, 0.500, 0.500).

Arrangement ii

The following is a PBE calculation of crystalline TlCr2SbPb at its relaxed geometry, from Alexandria.

The structure belongs to space group P4/mmm (No. 123); the cell edges are 5.176, 5.176 and 6.104 Å and the angles 90.00°, 90.00° and 90.00°. The inequivalent atoms are Tl at (0.000, 0.000, 0.000), Cr at (0.000, 0.500, 0.500), Sb at (0.500, 0.500, 0.500) and Pb at (0.500, 0.500, 0.000).

How do the energies compare? Relative to the most stable structure, in meV/atom: arrangement i 241; arrangement ii 0.

Arrangement i

The following is a PBE calculation of crystalline ScCrPb3 at its relaxed geometry, from Alexandria.

The structure belongs to space group Pm-3m (No. 221); the cell edges are 5.225, 5.225 and 5.225 Å and the angles 90.00°, 90.00° and 90.00°. The inequivalent atoms are Sc at (0.000, 0.000, 0.000), Cr at (0.500, 0.500, 0.500) and Pb at (0.000, 0.500, 0.500).

Arrangement ii

The following is a PBE calculation of crystalline ScCrPb3 at its relaxed geometry, from Alexandria.

The structure belongs to space group Pm-3m (No. 221); the cell edges are 5.505, 5.505 and 5.505 Å and the angles 90.00°, 90.00° and 90.00°. The inequivalent atoms are Sc at (0.000, 0.000, 0.000), Cr at (0.500, 0.500, 0.500) and Pb at (0.000, 0.000, 0.500).

How do the energies compare? Relative to the most stable structure, in meV/atom: arrangement i 0; arrangement ii 781.

Arrangement i

The following is a PBE calculation of crystalline Cr2PbSe at its relaxed geometry, from Alexandria.

The structure belongs to space group I-4m2 (No. 119); the cell edges are 3.952, 3.952 and 10.286 Å and the angles 90.00°, 90.00° and 90.00°. The inequivalent atoms are Cr at (0.000, 0.000, 0.000), Cr at (0.000, 0.500, 0.250), Pb at (0.000, 0.500, 0.750) and Se at (0.000, 0.000, 0.500).

Arrangement ii

The following is a PBE calculation of crystalline Cr2PbSe at its relaxed geometry, from Alexandria.

The structure belongs to space group P4mm (No. 99); the cell edges are 3.325, 3.325 and 7.438 Å and the angles 90.00°, 90.00° and 90.00°. The inequivalent atoms are Cr at (0.000, 0.000, 0.000), Cr at (0.500, 0.500, 0.195), Pb at (0.000, 0.000, 0.440) and Se at (0.500, 0.500, 0.853).

How do the energies compare? Relative to the most stable structure, in meV/atom: arrangement i 327; arrangement ii 0.

Arrangement i

The following is a PBE calculation of crystalline Cr2PbSe at its relaxed geometry, from Alexandria.

The structure belongs to space group Imm2 (No. 44); the cell edges are 3.442, 3.479 and 14.384 Å and the angles 90.00°, 90.00° and 90.00°. The inequivalent atoms are Cr at (0.000, 0.000, 0.000), Cr at (0.000, 0.500, 0.204), Pb at (0.000, 0.500, 0.828) and Se at (0.000, 0.000, 0.567).

Arrangement ii

The following is a PBE calculation of crystalline Cr2PbSe at its relaxed geometry, from Alexandria.

The structure belongs to space group P2/m (No. 10); the cell edges are 3.312, 3.300 and 7.428 Å and the angles 90.00°, 90.41° and 90.00°. The inequivalent atoms are Cr at (0.003, 0.000, 0.207), Pb at (0.500, 0.500, 0.500) and Se at (0.500, 0.500, 0.000).

Arrangement iii

The following is a PBE calculation of crystalline Cr2PbSe at its relaxed geometry, from Alexandria.

The structure belongs to space group C2/m (No. 12); the cell edges are 6.418, 7.404 and 3.440 Å and the angles 90.00°, 90.50° and 90.00°. The inequivalent atoms are Cr at (0.250, 0.250, 0.000), Pb at (0.000, 0.000, 0.500) and Se at (0.000, 0.500, 0.500).

Arrangement iv

The following is a PBE calculation of crystalline Cr2PbSe at its relaxed geometry, from Alexandria.

The structure belongs to space group R-3m (No. 166, hexagonal axes); the cell edges are 3.6236, 3.6236 and 22.1030 Å and the angles 90.00°, 90.00° and 120.00°. The inequivalent atoms are Cr at (0.0000, 0.0000, 0.2377), Pb at (0.0000, 0.0000, 0.0000) and Se at (0.0000, 0.0000, 0.5000).

How do the energies compare? Relative to the most stable structure, in meV/atom: arrangement i 40; arrangement ii 101; arrangement iii 230; arrangement iv 0.

Arrangement i

The following is a PBE calculation of crystalline Cr2PbSe at its relaxed geometry, from Alexandria.

The structure belongs to space group Cm (No. 8); the cell edges are 8.136, 3.186 and 6.951 Å and the angles 90.00°, 98.07° and 90.00°. The inequivalent atoms are Cr at (0.000, 0.000, 0.000), Cr at (0.223, 0.500, 0.102), Pb at (0.481, 0.000, 0.386) and Se at (0.261, 0.000, 0.836).

Arrangement ii

The following is a PBE calculation of crystalline Cr2PbSe at its relaxed geometry, from Alexandria.

The structure belongs to space group Fm-3m (No. 225); the cell edges are 6.868, 6.868 and 6.868 Å and the angles 90.00°, 90.00° and 90.00°. The inequivalent atoms are Cr at (0.250, 0.250, 0.250), Pb at (0.000, 0.000, 0.000) and Se at (0.000, 0.000, 0.500).

How do the energies compare? Relative to the most stable structure, in meV/atom: arrangement i 0; arrangement ii 259.

Arrangement i

The following is a PBE calculation of crystalline Cr2PbSe at its relaxed geometry, from Alexandria.

The structure belongs to space group I-42d (No. 122); the cell edges are 7.341, 7.341 and 6.451 Å and the angles 90.00°, 90.00° and 90.00°. The inequivalent atoms are Cr at (0.206, 0.250, 0.125), Pb at (0.000, 0.000, 0.500) and Se at (0.000, 0.000, 0.000).

Arrangement ii

The following is a PBE calculation of crystalline Cr2PbSe at its relaxed geometry, from Alexandria.

The structure belongs to space group Pm (No. 6); the cell edges are 3.236, 3.845 and 7.186 Å and the angles 90.00°, 90.23° and 90.00°. The inequivalent atoms are Cr at (0.000, 0.000, 0.000), Cr at (0.500, 0.500, 0.027), Pb at (0.504, 0.000, 0.345) and Se at (0.998, 0.500, 0.772).

Arrangement iii

The following is a PBE calculation of crystalline Cr2PbSe at its relaxed geometry, from Alexandria.

The structure belongs to space group R3m (No. 160, hexagonal axes); the cell edges are 3.2469, 3.2469 and 27.5329 Å and the angles 90.00°, 90.00° and 120.00°. The inequivalent atoms are Cr at (0.0000, 0.0000, 0.0000), Cr at (0.0000, 0.0000, 0.2643), Pb at (0.0000, 0.0000, 0.5061) and Se at (0.0000, 0.0000, 0.7229).

Arrangement iv

The following is a PBE calculation of crystalline Cr2PbSe at its relaxed geometry, from Alexandria.

The structure belongs to space group P4/mmm (No. 123); the cell edges are 4.868, 4.868 and 3.416 Å and the angles 90.00°, 90.00° and 90.00°. The inequivalent atoms are Cr at (0.000, 0.500, 0.000), Pb at (0.000, 0.000, 0.500) and Se at (0.500, 0.500, 0.500).

How do the energies compare? Relative to the most stable structure, in meV/atom: arrangement i 242; arrangement ii 0; arrangement iii 119; arrangement iv 290.

Arrangement i

The following is a PBE calculation of crystalline Cr2PbSe at its relaxed geometry, from Alexandria.

The structure belongs to space group Immm (No. 71); the cell edges are 3.559, 5.764 and 8.356 Å and the angles 90.00°, 90.00° and 90.00°. The inequivalent atoms are Cr at (0.000, 0.000, 0.220), Pb at (0.000, 0.500, 0.000) and Se at (0.000, 0.500, 0.500).

Arrangement ii

The following is a PBE calculation of crystalline Cr2PbSe at its relaxed geometry, from Alexandria.

The structure belongs to space group F-43m (No. 216); the cell edges are 7.063, 7.063 and 7.063 Å and the angles 90.00°, 90.00° and 90.00°. The inequivalent atoms are Cr at (0.000, 0.000, 0.000), Cr at (0.250, 0.250, 0.250), Pb at (0.250, 0.250, 0.750) and Se at (0.000, 0.000, 0.500).

How do the energies compare? Relative to the most stable structure, in meV/atom: arrangement i 0; arrangement ii 356.

Arrangement i

The following is a PBE calculation of crystalline Cr2Pb2Se at its relaxed geometry, from Alexandria.

The structure belongs to space group I4/mmm (No. 139); the cell edges are 3.426, 3.426 and 17.664 Å and the angles 90.00°, 90.00° and 90.00°. The inequivalent atoms are Cr at (0.000, 0.500, 0.250), Pb at (0.000, 0.000, 0.113) and Se at (0.000, 0.000, 0.500).

Arrangement ii

The following is a PBE calculation of crystalline Cr2Pb2Se at its relaxed geometry, from Alexandria.

The structure belongs to space group P4/mbm (No. 127); the cell edges are 8.603, 8.603 and 3.062 Å and the angles 90.00°, 90.00° and 90.00°. The inequivalent atoms are Cr at (0.076, 0.424, 0.000), Pb at (0.206, 0.706, 0.500) and Se at (0.000, 0.000, 0.500).

How do the energies compare? Relative to the most stable structure, in meV/atom: arrangement i 0; arrangement ii 95.

Arrangement i

The following is a PBE calculation of crystalline Cr2SnPb at its relaxed geometry, from Alexandria.

The structure belongs to space group I-42d (No. 122); the cell edges are 7.554, 7.554 and 6.250 Å and the angles 90.00°, 90.00° and 90.00°. The inequivalent atoms are Cr at (0.238, 0.250, 0.125), Sn at (0.000, 0.000, 0.000) and Pb at (0.000, 0.000, 0.500).

Arrangement ii

The following is a PBE calculation of crystalline Cr2SnPb at its relaxed geometry, from Alexandria.

The structure belongs to space group Fm-3m (No. 225); the cell edges are 6.962, 6.962 and 6.962 Å and the angles 90.00°, 90.00° and 90.00°. The inequivalent atoms are Cr at (0.250, 0.250, 0.250), Sn at (0.000, 0.000, 0.000) and Pb at (0.000, 0.000, 0.500).

How do the energies compare? Relative to the most stable structure, in meV/atom: arrangement i 211; arrangement ii 0.

Arrangement i

The following is a PBE calculation of crystalline SrCr3Pb at its relaxed geometry, from Alexandria.

The structure belongs to space group Pm-3m (No. 221); the cell edges are 5.375, 5.375 and 5.375 Å and the angles 90.00°, 90.00° and 90.00°. The inequivalent atoms are Sr at (0.000, 0.000, 0.000), Cr at (0.000, 0.500, 0.500) and Pb at (0.500, 0.500, 0.500).

Arrangement ii

The following is a PBE calculation of crystalline SrCr3Pb at its relaxed geometry, from Alexandria.

The structure belongs to space group Pm-3m (No. 221); the cell edges are 5.546, 5.546 and 5.546 Å and the angles 90.00°, 90.00° and 90.00°. The inequivalent atoms are Sr at (0.000, 0.000, 0.000), Cr at (0.000, 0.000, 0.500) and Pb at (0.500, 0.500, 0.500).

How do the energies compare? Relative to the most stable structure, in meV/atom: arrangement i 0; arrangement ii 942.

Arrangement i

The following is a PBE calculation of crystalline TaCrPb2 at its relaxed geometry, from Alexandria.

The structure belongs to space group Fm-3m (No. 225); the cell edges are 6.831, 6.831 and 6.831 Å and the angles 90.00°, 90.00° and 90.00°. The inequivalent atoms are Ta at (0.000, 0.000, 0.000), Cr at (0.000, 0.000, 0.500) and Pb at (0.250, 0.250, 0.250).

Arrangement ii

The following is a PBE calculation of crystalline TaCrPb2 at its relaxed geometry, from Alexandria.

The structure belongs to space group Pm (No. 6); the cell edges are 3.291, 4.766 and 5.870 Å and the angles 90.00°, 105.83° and 90.00°. The inequivalent atoms are Ta at (0.000, 0.000, 0.000), Cr at (0.155, 0.500, 0.240), Pb at (0.415, 0.500, 0.793) and Pb at (0.745, 0.000, 0.449).

Arrangement iii

The following is a PBE calculation of crystalline TaCrPb2 at its relaxed geometry, from Alexandria.

The structure belongs to space group P2/m (No. 10); the cell edges are 3.231, 4.028 and 6.763 Å and the angles 90.00°, 99.19° and 90.00°. The inequivalent atoms are Ta at (0.000, 0.000, 0.000), Cr at (0.000, 0.000, 0.500) and Pb at (0.467, 0.500, 0.749).

Arrangement iv

The following is a PBE calculation of crystalline TaCrPb2 at its relaxed geometry, from Alexandria.

The structure belongs to space group Pmmm (No. 47); the cell edges are 3.257, 4.896 and 5.551 Å and the angles 90.00°, 90.00° and 90.00°. The inequivalent atoms are Ta at (0.000, 0.000, 0.000), Cr at (0.500, 0.000, 0.500), Pb at (0.000, 0.500, 0.500) and Pb at (0.500, 0.500, 0.000).

How do the energies compare? Relative to the most stable structure, in meV/atom: arrangement i 306; arrangement ii 0; arrangement iii 74; arrangement iv 109.